This record from OQMD describes an optimized crystal structure of Li2Cd2GaGePd2. The functional is GGA-PBE.

```
Li2Cd2GaGePd2
1.0
4.5242 0.0000 0.0000
0.0000 4.5242 0.0000
0.0000 0.0000 6.3874
Li Cd Ga Ge Pd
2 2 1 1 2
Cartesian
0.0000 2.2621 1.5955
2.2621 0.0000 4.7919
0.0000 0.0000 0.0000
2.2621 2.2621 3.1937
0.0000 0.0000 3.1937
2.2621 2.2621 0.0000
0.0000 2.2621 4.7899
2.2621 0.0000 1.5975
```

Results
Raw total energy ... -0.2472 Ry per atom